1.
MgRh3: PBEsol geometry, SCAN.

a b c (Å): 4.771 8.779 5.379
angles (deg): 90.00 90.00 90.00
Sites, in units of the cell vectors:
1 Mg 0.074 0.250 0.120
2 Mg 0.426 0.750 0.620
3 Mg 0.574 0.250 0.380
4 Mg 0.926 0.750 0.880
5 Rh 0.085 0.250 0.630
6 Rh 0.235 0.506 0.375
7 Rh 0.235 0.994 0.375
8 Rh 0.265 0.006 0.875
9 Rh 0.265 0.494 0.875
10 Rh 0.415 0.750 0.130
11 Rh 0.585 0.250 0.870
12 Rh 0.735 0.506 0.125
13 Rh 0.735 0.994 0.125
14 Rh 0.765 0.006 0.625
15 Rh 0.765 0.494 0.625
16 Rh 0.915 0.750 0.370

Values from the calculation:
**Total magnetization**: 0.00 μB per formula unit
**V**: 14.1 Å³ per atom
**SG**: Pnma (62)
**Raw total energy**: -429.18 eV per cell

***

2.
CoReBr2: PBEsol geometry, SCAN.

a b c (Å): 4.317 4.317 5.271
angles (deg): 103.26 103.26 41.01
Sites, in units of the cell vectors:
1 Co 0.000 0.000 0.000
2 Re 0.500 0.500 0.500
3 Br 0.265 0.265 0.754
4 Br 0.735 0.735 0.246

Values from the calculation:
**Total magnetization**: 1.91 μB per formula unit
**V**: 15.6 Å³ per atom
**SG**: C2/m (12)
**Raw total energy**: -122.64 eV per cell
**Formation energy from raw total energies**: 4.677 eV per formula unit
**Offset from the most stable computed form**: 0.7162 eV/atom

***

3.
SrScCl2: PBEsol geometry, SCAN.

a b c (Å): 3.801 3.801 8.720
angles (deg): 90.00 90.00 125.88
Sites, in units of the cell vectors:
1 Sr 0.000 0.000 0.000
2 Sc 0.000 0.000 0.500
3 Cl 0.500 0.500 0.276
4 Cl 0.500 0.500 0.724

Values from the calculation:
**Total magnetization**: 0.00 μB per formula unit
**V**: 25.5 Å³ per atom
**SG**: Cmmm (65)
**Raw total energy**: -57.83 eV per cell
**Formation energy from raw total energies**: -5.365 eV per formula unit
**Offset from the most stable computed form**: 0.0983 eV/atom

***

4.
CdCuTc2: PBEsol geometry, SCAN.

a b c (Å): 5.226 5.226 5.226
angles (deg): 145.09 133.93 59.08
Sites, in units of the cell vectors:
1 Cd 0.000 0.000 0.000
2 Cu 0.500 0.500 0.000
3 Tc 0.260 0.760 0.500
4 Tc 0.740 0.240 0.500

Values from the calculation:
**Total magnetization**: 0.00 μB per formula unit
**V**: 14.6 Å³ per atom
**SG**: Immm (71)
**Raw total energy**: -114.15 eV per cell

***

5.
NaSrO2: PBEsol geometry, SCAN.

a b c (Å): 4.229 4.229 4.229
angles (deg): 60.00 60.00 60.00
Sites, in units of the cell vectors:
1 Na 0.000 0.000 0.000
2 Sr 0.500 0.500 0.500
3 O 0.250 0.250 0.250
4 O 0.750 0.750 0.750

Values from the calculation:
**Total magnetization**: 1.00 μB per formula unit
**V**: 13.4 Å³ per atom
**SG**: Fm-3m (225)
**Raw total energy**: -46.27 eV per cell
**Formation energy from raw total energies**: -7.316 eV per formula unit

***

6.
CaCuTc2: PBEsol geometry, SCAN.

a b c (Å): 9.701 9.701 9.701
angles (deg): 16.10 16.10 16.10
Sites, in units of the cell vectors:
1 Ca 0.000 0.000 0.000
2 Cu 0.500 0.500 0.500
3 Tc 0.241 0.241 0.241
4 Tc 0.759 0.759 0.759

Values from the calculation:
**Total magnetization**: 0.00 μB per formula unit
**V**: 15.3 Å³ per atom
**SG**: R-3m (166)
**Raw total energy**: -91.98 eV per cell
**Offset from the most stable computed form**: 0.3348 eV/atom

***

- Which of these has the highest raw total energy?
  NaSrO2

***

- The lowest raw total energy belongs to which entry?
  MgRh3

***

- What is the formula in the second record?
  CoReBr2